[1]
First-principles (PBE) data for YCd2Te2 after structural relaxation, as listed in Alexandria via LeMat-Bulk.

POSCAR file:
```
YCd2Te2
1.0
-1.991 1.991 9.452
1.991 -1.991 9.452
1.991 1.991 -9.452
Y Cd Te
1 2 2
Cartesian
0.000 0.000 0.000
1.991 0.000 4.726
0.000 1.991 4.726
0.000 0.000 7.771
0.000 0.000 11.133
```

Properties
space group: I4/mmm
raw formation energy: -524 meV per atom
excess energy over the best structure of this formula in the dataset: 0.0 meV per atom
theoretical density: 6.31 g/cm3

=====

[2]
First-principles (PBE) data for Y2Al3SnPt4 after structural relaxation, as listed in Alexandria via LeMat-Bulk.

POSCAR file:
```
Y2Al3SnPt4
1.0
4.181 0.000 0.000
0.000 4.181 0.000
0.000 0.000 10.994
Y Al Sn Pt
2 3 1 4
Cartesian
0.000 2.091 2.713
2.091 0.000 8.281
0.000 2.091 9.591
2.091 0.000 1.403
2.091 2.091 5.497
0.000 0.000 5.497
0.000 0.000 0.000
0.000 2.091 7.161
2.091 0.000 3.833
2.091 2.091 0.000
```

Properties
total DFT energy (no corrections): -62.8 eV per cell
space group: P-4m2
theoretical density: 10.00 g/cm3

=====

[3]
First-principles (PBE) data for Th8NiOs3Se4 after structural relaxation, as listed in Alexandria via LeMat-Bulk.

POSCAR file:
```
Th8NiOs3Se4
1.0
4.112 2.374 7.350
-4.112 2.374 7.350
0.000 -4.748 7.350
Th Ni Os Se
8 1 3 4
Cartesian
-2.069 -1.194 12.593
0.000 0.000 5.262
0.000 -2.389 9.457
-2.069 1.194 9.457
2.069 -1.194 12.593
0.000 2.389 12.593
0.000 0.000 16.788
2.069 1.194 9.457
0.000 0.000 11.025
-4.112 0.000 11.025
-2.056 1.187 3.675
2.056 1.187 3.675
0.000 0.000 0.000
-2.056 -1.187 7.350
-2.056 1.187 14.700
0.000 2.374 7.350
```

Properties
space group: R-3m
raw formation energy: -1006 meV per atom
theoretical density: 10.80 g/cm3

=====

[4]
First-principles (PBE) data for BaHgPb2 after structural relaxation, as listed in Alexandria via LeMat-Bulk.

POSCAR file:
```
BaHgPb2
1.0
4.698 0.000 0.000
0.000 4.717 0.000
0.000 0.000 6.364
Ba Hg Pb
1 1 2
Cartesian
0.000 0.000 0.000
2.349 2.358 5.341
0.000 2.358 3.029
2.349 0.000 3.057
```

Properties
space group: Pmm2
excess energy over the best structure of this formula in the dataset: 61.9 meV per atom
theoretical density: 8.86 g/cm3